# 1
This record from the Open Quantum Materials Database describes a relaxed LiCdNiBi crystal. The functional is GGA-PBE.

Cell lengths 6.5964, 6.5964, 6.5964 Å; angles 90.00, 90.00, 90.00 degrees
Space group F-43m (No. 216)
Inequivalent atoms, fractional coordinates:
Li  0.0000  0.0000  0.0000 (multiplicity 4)
Cd  0.2500  0.2500  0.7500 (multiplicity 4)
Ni  0.0000  0.0000  0.5000 (multiplicity 4)
Bi  0.2500  0.2500  0.2500 (multiplicity 4)

Values from the calculation:
Volume in Å³/atom: 17.939
E_tot in eV per cell: -51.5


# 2
This record from the Open Quantum Materials Database describes a relaxed Li8Ag4O11 crystal. The functional is GGA-PBE.

Cell lengths 5.1098, 5.2298, 9.1678 Å; angles 83.00, 73.95, 79.03 degrees
Space group P1 (No. 1)
Inequivalent atoms, fractional coordinates:
Li  0.0000  0.0000  0.0000 (multiplicity 1)
Li  0.0218  0.2058  0.4202 (multiplicity 1)
Li  0.1101  0.4759  0.8548 (multiplicity 1)
Li  0.2926  0.9461  0.6532 (multiplicity 1)
Li  0.4469  0.4454  0.5098 (multiplicity 1)
Li  0.5272  0.6922  0.9110 (multiplicity 1)
Li  0.6233  0.9553  0.3470 (multiplicity 1)
Li  0.8218  0.4387  0.1787 (multiplicity 1)
Ag  0.2245  0.7091  0.2455 (multiplicity 1)
Ag  0.4057  0.2007  0.0932 (multiplicity 1)
Ag  0.7161  0.2051  0.7552 (multiplicity 1)
Ag  0.8640  0.6986  0.5791 (multiplicity 1)
O  0.0377  0.0788  0.2085 (multiplicity 1)
O  0.0718  0.3315  0.6290 (multiplicity 1)
O  0.1329  0.6389  0.0517 (multiplicity 1)
O  0.2357  0.8087  0.4559 (multiplicity 1)
O  0.3692  0.0869  0.8926 (multiplicity 1)
O  0.4269  0.3371  0.2880 (multiplicity 1)
O  0.5021  0.5735  0.7142 (multiplicity 1)
O  0.6546  0.0494  0.5313 (multiplicity 1)
O  0.7543  0.3487  0.9902 (multiplicity 1)
O  0.7861  0.5732  0.3943 (multiplicity 1)
O  0.9246  0.8311  0.7738 (multiplicity 1)

Values from the calculation:
Volume in Å³/atom: 10.022
E_tot in eV per cell: -102.7


# 3
This record from the Open Quantum Materials Database describes a relaxed PrTlNiSe3 crystal. The functional is GGA-PBE.

Cell lengths 11.7231, 4.2759, 12.4630 Å; angles 90.00, 90.00, 90.00 degrees
Space group Pnma (No. 62)
Inequivalent atoms, fractional coordinates:
Pr  0.0159  0.2500  0.1749 (multiplicity 4)
Tl  0.1741  0.2500  0.5047 (multiplicity 4)
Ni  0.2471  0.7500  0.2994 (multiplicity 4)
Se  0.0476  0.7500  0.3397 (multiplicity 4)
Se  0.1139  0.2500  0.9441 (multiplicity 4)
Se  0.2259  0.7500  0.7179 (multiplicity 4)

Values from the calculation:
Volume in Å³/atom: 26.030
E_tot in eV per cell: -114.3


# 4
This record from the Open Quantum Materials Database describes a relaxed LaMgZn2 crystal. The functional is GGA-PBE.

Cell lengths 5.1814, 5.1814, 7.8355 Å; angles 90.00, 90.00, 120.00 degrees
Space group P6_3/mmc (No. 194)
Inequivalent atoms, fractional coordinates:
La  0.0000  0.0000  0.2500 (multiplicity 2)
Mg  0.3333  0.6667  0.2500 (multiplicity 2)
Zn  0.3333  0.6667  0.5833 (multiplicity 4)

Values from the calculation:
Volume in Å³/atom: 22.772
E_tot in eV per cell: -17.7


# 5
This record from the Open Quantum Materials Database describes a relaxed GdHo2Al3Cu3 crystal. The functional is GGA-PBE.

Cell lengths 4.0045, 12.1427, 7.0277 Å; angles 90.00, 90.00, 90.00 degrees
Space group Amm2 (No. 38)
Inequivalent atoms, fractional coordinates:
Gd  0.0000  0.0000  0.0000 (multiplicity 2)
Ho  0.0000  0.2074  0.6221 (multiplicity 4)
Al  0.5000  0.0000  0.6505 (multiplicity 2)
Al  0.5000  0.1182  0.2983 (multiplicity 4)
Cu  0.0000  0.0000  0.4176 (multiplicity 2)
Cu  0.5000  0.1685  0.9145 (multiplicity 4)

Values from the calculation:
Volume in Å³/atom: 18.985
E_tot in eV per cell: -80.5


# 6
This record from the Open Quantum Materials Database describes a relaxed LaTb2Ni2 crystal. The functional is GGA-PBE.

Cell lengths 3.9835, 3.9835, 19.6266 Å; angles 90.00, 90.00, 120.00 degrees
Space group P6_3/mmc (No. 194)
Inequivalent atoms, fractional coordinates:
La  0.0000  0.0000  0.0000 (multiplicity 2)
Tb  0.3333  0.6667  0.1594 (multiplicity 4)
Ni  0.3333  0.6667  0.5869 (multiplicity 4)

Values from the calculation:
Energy of formation from the pure elements in meV per atom: -118
Volume in Å³/atom: 26.972


> Which of these has the lowest volume?

Li8Ag4O11